Computed, not measured: YSbAs at its PBEsol-relaxed geometry at the SCAN level of DFT.

Lattice parameters (Å, degrees): 4.825 4.825 4.825 60.00 60.00 60.00
Element x y z (fractional)
As: 0.750 0.750 0.750
Y: 0.500 0.500 0.500
Sb: 0.000 0.000 0.000

Summary:
raw formation energy = -495 meV per atom
D(E_F) = 2.53 states/eV per cell
raw total energy = -28.927 eV/atom
energy relative to the lowest polymorph listed for this composition = 0.000 eV/atom
space group = F-43m (216)

=====

Computed, not measured: YSb2As2 at its PBEsol-relaxed geometry at the SCAN level of DFT.

Lattice parameters (Å, degrees): 4.082 4.082 8.125 104.55 104.55 90.00
Element x y z (fractional)
Y: 0.000 0.000 0.000
As: 0.418 0.418 0.836
As: 0.582 0.582 0.164
Sb: 0.750 0.250 0.500
Sb: 0.250 0.750 0.500

Summary:
raw formation energy = -219 meV per atom
D(E_F) = 3.84 states/eV per cell
raw total energy = -28.768 eV/atom
space group = I4/mmm (139)

=====

Computed, not measured: Zn3SbAs at its PBEsol-relaxed geometry at the SCAN level of DFT.

Lattice parameters (Å, degrees): 4.773 4.773 4.773 90.00 90.00 90.00
Element x y z (fractional)
Zn: 0.000 0.500 0.000
Zn: 0.000 0.000 0.500
As: 0.000 0.000 0.000
Sb: 0.500 0.500 0.500
Zn: 0.500 0.000 0.000

Summary:
raw formation energy = 423 meV per atom
D(E_F) = 5.02 states/eV per cell
raw total energy = -19.176 eV/atom
space group = Pm-3m (221)

=====

Computed, not measured: ZnSbAs2 at its PBEsol-relaxed geometry at the SCAN level of DFT.

Lattice parameters (Å, degrees): 3.583 3.583 6.131 90.00 90.00 90.00
Element x y z (fractional)
Zn: 0.500 0.500 0.500
As: 0.000 0.000 0.709
Sb: 0.500 0.500 0.000
As: 0.000 0.000 0.291

Summary:
raw formation energy = 319 meV per atom
D(E_F) = 1.66 states/eV per cell
raw total energy = -22.470 eV/atom
energy relative to the lowest polymorph listed for this composition = 0.000 eV/atom
space group = P4/mmm (123)

=====

Q: raw formation energy of number 3 (Zn3SbAs)?
A: 423 meV per atom

=====

Q: What is the D(E_F) in the third record?
A: 5.02 states/eV per cell

=====

Please write out number 4 again, unchanged.
Computed, not measured: ZnSbAs2 at its PBEsol-relaxed geometry at the SCAN level of DFT.

Lattice parameters (Å, degrees): 3.583 3.583 6.131 90.00 90.00 90.00
Element x y z (fractional)
Zn: 0.500 0.500 0.500
As: 0.000 0.000 0.709
Sb: 0.500 0.500 0.000
As: 0.000 0.000 0.291

Summary:
raw formation energy = 319 meV per atom
D(E_F) = 1.66 states/eV per cell
raw total energy = -22.470 eV/atom
energy relative to the lowest polymorph listed for this composition = 0.000 eV/atom
space group = P4/mmm (123)